Record 1
DFT (PBE) results for an optimized crystal structure of Ce8PC3Cl4.

a b c (Å): 7.6222 8.2020 7.6221
angles (deg): 117.69 120.00 90.00
Site moments in Bohr magnetons follow the coordinates.
Fractional positions:
Ce: 0.7317 0.6951 0.4634  0.55
Ce: 0.2457 0.7066 0.4915  0.49
Ce: 0.2850 0.2935 0.0392  0.49
Ce: 0.7542 0.2935 0.0392  0.49
Ce: 0.2683 0.3049 0.5366  0.55
Ce: 0.7543 0.2934 0.5085  0.49
Ce: 0.2458 0.7065 0.9608  0.49
Ce: 0.7150 0.7065 0.9608  0.49
P: 0.0000 0.5000 0.0000  -0.02
C: 0.0000 0.5000 0.5000  -0.03
C: 0.5000 0.5000 0.0000  -0.03
C: 0.5000 0.5000 0.5000  -0.03
Cl: 0.0000 0.0000 0.0000  -0.01
Cl: 0.5000 0.0000 0.0000  -0.01
Cl: 0.5000 0.0000 0.5000  -0.01
Cl: 0.0000 0.0000 0.5000  -0.01

Computed properties:
As for the crystal system: trigonal. As for the space group: No. 166.

***

Record 2
DFT (PBE) results for an optimized crystal structure of CePaCCl.

a b c (Å): 3.4841 3.4901 7.7841
angles (deg): 90.01 102.94 119.95
Site moments in Bohr magnetons follow the coordinates.
Fractional positions:
Cl: 0.9663 0.3816 0.3622  0.00
Pa: 0.0971 0.9464 0.0594  0.02
Ce: 0.5063 0.1509 0.6729  0.63
C: 0.3081 0.5518 0.8752  -0.01

Computed properties:
As for the crystal system: monoclinic. As for the space group: No. 8.

***

Record 3
DFT (PBE) results for an optimized crystal structure of CePmCCl.

a b c (Å): 3.6922 3.6923 7.5382
angles (deg): 90.00 104.18 120.00
Site moments in Bohr magnetons follow the coordinates.
Fractional positions:
Cl: 0.9714 0.3837 0.3703  0.00
Ce: 0.0931 0.9445 0.0528  0.49
Pm: 0.5060 0.1509 0.6721  -0.02
C: 0.3074 0.5517 0.8744  -0.01

Computed properties:
As for the crystal system: trigonal. As for the space group: No. 160.

***

Record 4
DFT (PBE) results for an optimized crystal structure of Ce6C3S2Cl.

a b c (Å): 3.7901 7.8699 8.7346
angles (deg): 105.96 102.53 90.00
Site moments in Bohr magnetons follow the coordinates.
Fractional positions:
C: 0.5000 0.5000 0.0000  -0.02
C: 0.1675 0.8340 0.3350  -0.02
C: 0.8325 0.1660 0.6650  -0.02
Ce: 0.3395 0.4001 0.6789  0.23
Ce: 0.6764 0.0639 0.3527  0.20
Ce: 0.9906 0.2763 0.9813  0.30
Ce: 0.3236 0.9361 0.6473  0.20
Ce: 0.0094 0.7237 0.0187  0.30
Ce: 0.6605 0.5999 0.3211  0.23
S: 0.8350 0.6700 0.6701  -0.01
S: 0.1650 0.3300 0.3299  -0.01
Cl: 0.5000 0.0000 0.0000  -0.01

Computed properties:
As for the crystal system: monoclinic. As for the space group: No. 12.

***

no.,formation energy without anion corrections (eV/atom)
1,-1.09
2,-0.88
3,-1.00
4,-1.08